[1]
# CePuSc2, optimized geometry, DFT PBE-GGA
# **Space-group type**: No. 160
# **Calculated formation energy**: 0.11 eV/atom
# **Magnetic moment**: 15.621 μB per cell
data_CePuSc2
_chemical_formula_sum 'Ce3 Pu3 Sc6'
_symmetry_space_group_name_H-M 'P 1'
_symmetry_Int_Tables_number 1
_cell_length_a 3.281
_cell_length_b 3.281
_cell_length_c 32.854
_cell_angle_alpha 90.00
_cell_angle_beta 90.00
_cell_angle_gamma 120.00
loop_
_symmetry_equiv_pos_as_xyz
'x,y,z'
loop_
_atom_site_label
_atom_site_fract_x
_atom_site_fract_y
_atom_site_fract_z
Ce1 0.000 0.000 0.000
Ce2 0.333 0.667 0.667
Ce3 0.667 0.333 0.333
Pu1 0.000 0.000 0.166
Pu2 0.333 0.667 0.833
Pu3 0.667 0.333 0.499
Sc1 0.000 0.000 0.581
Sc2 0.000 0.000 0.752
Sc3 0.333 0.667 0.248
Sc4 0.333 0.667 0.418
Sc5 0.667 0.333 0.085
Sc6 0.667 0.333 0.914


[2]
# HgH, optimized geometry, DFT PBE-GGA
# **Space-group type**: No. 59
# **Magnetic moment**: 0.000 μB per cell
data_HgH
_chemical_formula_sum 'Hg6 H6'
_symmetry_space_group_name_H-M 'P 1'
_symmetry_Int_Tables_number 1
_cell_length_a 3.139
_cell_length_b 10.645
_cell_length_c 6.080
_cell_angle_alpha 90.00
_cell_angle_beta 90.00
_cell_angle_gamma 90.00
loop_
_symmetry_equiv_pos_as_xyz
'x,y,z'
loop_
_atom_site_label
_atom_site_fract_x
_atom_site_fract_y
_atom_site_fract_z
Hg1 0.250 0.081 0.191
Hg2 0.250 0.419 0.191
Hg3 0.250 0.750 0.385
Hg4 0.750 0.250 0.615
Hg5 0.750 0.581 0.809
Hg6 0.750 0.919 0.809
H1 0.250 0.250 0.099
H2 0.250 0.576 0.326
H3 0.250 0.924 0.326
H4 0.750 0.076 0.674
H5 0.750 0.424 0.674
H6 0.750 0.750 0.901


[3]
# LaCe3Ir, optimized geometry, DFT PBE-GGA
# **Space-group type**: No. 11
# **Calculated formation energy**: -0.30 eV/atom
# **Magnetic moment**: 0.436 μB per cell
data_LaCe3Ir
_chemical_formula_sum 'La2 Ce6 Ir2'
_symmetry_space_group_name_H-M 'P 1'
_symmetry_Int_Tables_number 1
_cell_length_a 6.125
_cell_length_b 6.672
_cell_length_c 6.631
_cell_angle_alpha 90.00
_cell_angle_beta 92.78
_cell_angle_gamma 90.00
loop_
_symmetry_equiv_pos_as_xyz
'x,y,z'
loop_
_atom_site_label
_atom_site_fract_x
_atom_site_fract_y
_atom_site_fract_z
La1 0.126 0.250 0.381
La2 0.874 0.750 0.619
Ce1 0.062 0.750 0.096
Ce2 0.427 0.004 0.797
Ce3 0.427 0.496 0.797
Ce4 0.573 0.504 0.203
Ce5 0.573 0.996 0.203
Ce6 0.938 0.250 0.904
Ir1 0.304 0.750 0.454
Ir2 0.696 0.250 0.546


Number 1: E_tot -8.126 eV per atom. Number 2: E_tot -1.480 eV per atom. Number 3: E_tot -6.618 eV per atom.